A geometry-optimized NaAgSbAu structure, computed with PBE.

The structure in POSCAR format:
```
NaAgSbAu
1.0
6.938 0.000 0.000
0.000 6.938 0.000
0.000 0.000 6.938
Na Ag Sb Au
4 4 4 4
direct
0.000 0.000 0.000 Na
0.000 0.500 0.500 Na
0.500 0.000 0.500 Na
0.500 0.500 0.000 Na
0.000 0.000 0.500 Ag
0.000 0.500 0.000 Ag
0.500 0.000 0.000 Ag
0.500 0.500 0.500 Ag
0.250 0.250 0.250 Sb
0.250 0.750 0.750 Sb
0.750 0.250 0.750 Sb
0.750 0.750 0.250 Sb
0.250 0.250 0.750 Au
0.250 0.750 0.250 Au
0.750 0.250 0.250 Au
0.750 0.750 0.750 Au
```

## Properties
**Distance to the lowest polymorph of the same formula**: 96.6 meV per atom

***

A geometry-optimized PrTcTe structure, computed with PBE.

The structure in POSCAR format:
```
PrTcTe
1.0
7.212 0.000 0.000
0.000 7.212 0.000
0.000 0.000 7.212
Pr Tc Te
4 4 4
direct
0.000 0.000 0.000 Pr
0.000 0.500 0.500 Pr
0.500 0.000 0.500 Pr
0.500 0.500 0.000 Pr
0.250 0.250 0.750 Tc
0.250 0.750 0.250 Tc
0.750 0.250 0.250 Tc
0.750 0.750 0.750 Tc
0.250 0.250 0.250 Te
0.250 0.750 0.750 Te
0.750 0.250 0.750 Te
0.750 0.750 0.250 Te
```

## Properties
**Total magnetization**: 12.0 μB per cell
**Distance to the lowest polymorph of the same formula**: 508.9 meV per atom

***

A geometry-optimized AcZn structure, computed with PBE.

The structure in POSCAR format:
```
AcZn
1.0
7.405 0.000 0.000
0.000 5.745 0.000
-1.428 0.000 8.653
Ac Zn
6 6
direct
0.148 0.250 0.040 Ac
0.227 0.750 0.335 Ac
0.338 0.750 0.841 Ac
0.662 0.250 0.159 Ac
0.773 0.250 0.665 Ac
0.852 0.750 0.960 Ac
0.034 0.250 0.398 Zn
0.252 0.250 0.671 Zn
0.406 0.250 0.421 Zn
0.594 0.750 0.579 Zn
0.748 0.750 0.329 Zn
0.966 0.750 0.602 Zn
```

## Properties
**Formation energy**: -0.0564 eV per atom
**Total magnetization**: 0.0 μB per cell

***

A geometry-optimized SrAl2Zn structure, computed with PBE.

The structure in POSCAR format:
```
SrAl2Zn
1.0
7.034 0.000 0.000
0.000 7.034 0.000
0.000 0.000 7.034
Sr Al Zn
4 8 4
direct
0.000 0.000 0.000 Sr
0.000 0.500 0.500 Sr
0.500 0.000 0.500 Sr
0.500 0.500 0.000 Sr
0.000 0.000 0.500 Al
0.000 0.500 0.000 Al
0.250 0.250 0.750 Al
0.250 0.750 0.250 Al
0.500 0.000 0.000 Al
0.500 0.500 0.500 Al
0.750 0.250 0.250 Al
0.750 0.750 0.750 Al
0.250 0.250 0.250 Zn
0.250 0.750 0.750 Zn
0.750 0.250 0.750 Zn
0.750 0.750 0.250 Zn
```

## Properties
**Calculated total energy**: -2.6225 eV per atom